The following is a DFT calculation (PBE-GGA) of TbFe2Ge2C after structural relaxation.

Calculated values
Total magnetization = 2.22 μB/cell
Space-group type = P4/mmm
Raw total energy = -41.69 eV/cell
Calculated formation energy = -0.279 eV/atom

a = 3.943 Å, b = 3.943 Å, c = 5.387 Å
α = 90.00°, β = 90.00°, γ = 90.00°
Fractional coordinates of all 6 atoms:
Fe 0.000 0.500 0.000
Fe 0.500 0.000 0.000
Ge 0.500 0.500 0.730
Ge 0.500 0.500 0.270
C 0.000 0.000 0.000
Tb 0.000 0.000 0.500